[1]
## BaNa3Ca3 (PBE)

Data for a relaxed structure of BaNa3Ca3.

Calculated values
Space-group type ... Pm-3n (223)
E_form ... 0.50 eV per atom
Crystal system ... cubic
Total DFT energy (no corrections) ... -1.196 eV/atom
Magnetic moment ... 0.00 Bohr magnetons per cell

a b c (Å): 9.0624 9.0624 9.0624
angles (deg): 90.00 90.00 90.00
Atoms (fractional coordinates):
Ba1 0.0000 0.0000 0.0000
Ba2 0.5000 0.5000 0.5000
Na1 0.0000 0.2500 0.5000
Na2 0.0000 0.7500 0.5000
Na3 0.2500 0.5000 0.0000
Na4 0.5000 0.0000 0.2500
Na5 0.5000 0.0000 0.7500
Na6 0.7500 0.5000 0.0000
Ca1 0.0000 0.5000 0.2500
Ca2 0.0000 0.5000 0.7500
Ca3 0.2500 0.0000 0.5000
Ca4 0.5000 0.2500 0.0000
Ca5 0.5000 0.7500 0.0000
Ca6 0.7500 0.0000 0.5000

[2]
## GdThIn2 (PBE)

Data for a relaxed structure of GdThIn2.

Calculated values
Space-group type ... P4/mmm (123)
Offset from the most stable computed form ... 49 meV/atom
E_form ... -0.34 eV per atom
Crystal system ... tetragonal
Total DFT energy (no corrections) ... -7.086 eV/atom
Magnetic moment ... 7.45 Bohr magnetons per cell

a b c (Å): 5.7522 5.7522 3.4254
angles (deg): 90.00 90.00 90.00
Atoms (fractional coordinates):
Gd1 0.0000 0.0000 0.0000
Th1 0.5000 0.5000 0.0000
In1 0.0000 0.5000 0.5000
In2 0.5000 0.0000 0.5000

[3]
## ReIrI3 (PBE)

Data for a relaxed structure of ReIrI3.

Calculated values
Space-group type ... Pm-3m (221)
Formation energy from raw total energies ... 1.469 eV/atom
Crystal system ... cubic
Total DFT energy (no corrections) ... -3.723 eV/atom
Magnetic moment ... 5.42 Bohr magnetons per cell

a b c (Å): 5.4219 5.4219 5.4219
angles (deg): 90.00 90.00 90.00
Atoms (fractional coordinates):
Re1 0.0000 0.0000 0.0000
Ir1 0.5000 0.5000 0.5000
I1 0.0000 0.5000 0.5000
I2 0.5000 0.0000 0.5000
I3 0.5000 0.5000 0.0000

[4]
## Ba5MnH2N4 (PBE)

Data for a relaxed structure of Ba5MnH2N4.

Calculated values
Space-group type ... Amm2 (38)
Crystal system ... orthorhombic
Total DFT energy (no corrections) ... -5.305 eV/atom
Magnetic moment ... 2.86 Bohr magnetons per cell

a b c (Å): 7.9276 5.9629 5.9629
angles (deg): 114.55 90.00 90.00
Atoms (fractional coordinates):
Ba1 0.0000 0.0000 0.0000
Ba2 0.2800 0.3014 0.6637
Ba3 0.2800 0.6637 0.3014
Ba4 0.7200 0.3014 0.6637
Ba5 0.7200 0.6637 0.3014
Mn1 0.5000 0.9892 0.9892
H1 0.0000 0.4957 0.9738
H2 0.0000 0.9738 0.4957
N1 0.3137 0.1525 0.1525
N2 0.5000 0.6726 0.9612
N3 0.5000 0.9612 0.6726
N4 0.6863 0.1525 0.1525

[5]
## AlCuOs2 (PBE)

Data for a relaxed structure of AlCuOs2.

Calculated values
Space-group type ... P4mm (99)
E_form ... -0.09 eV per atom
Crystal system ... tetragonal
Total DFT energy (no corrections) ... -7.660 eV/atom
Magnetic moment ... 0.00 Bohr magnetons per cell

a b c (Å): 2.8768 2.8768 6.5439
angles (deg): 90.00 90.00 90.00
Atoms (fractional coordinates):
Al1 0.0000 0.0000 0.0000
Cu1 0.5000 0.5000 0.2185
Os1 0.0000 0.0000 0.4827
Os2 0.5000 0.5000 0.7402

[6]
## YInAu (PBE)

Data for a relaxed structure of YInAu.

Calculated values
Space-group type ... P-62m (189)
E_form ... -0.76 eV per atom
Crystal system ... hexagonal
Total DFT energy (no corrections) ... -4.918 eV/atom
Magnetic moment ... 0.00 Bohr magnetons per cell

a b c (Å): 7.7367 7.7367 4.0446
angles (deg): 90.00 90.00 120.00
Atoms (fractional coordinates):
Y1 0.0000 0.5942 0.0000
Y2 0.4058 0.4058 0.0000
Y3 0.5942 0.0000 0.0000
In1 0.0000 0.2595 0.5000
In2 0.2595 0.0000 0.5000
In3 0.7405 0.7405 0.5000
Au1 0.0000 0.0000 0.0000
Au2 0.3333 0.6667 0.5000
Au3 0.6667 0.3333 0.5000

[7]
## CaCo2Os (PBE)

Data for a relaxed structure of CaCo2Os.

Calculated values
Space-group type ... Pmmm (47)
Offset from the most stable computed form ... 0 meV/atom
E_form ... 0.36 eV per atom
Crystal system ... orthorhombic
Total DFT energy (no corrections) ... -6.504 eV/atom
Magnetic moment ... 0.97 Bohr magnetons per cell

a b c (Å): 2.7278 3.4923 6.5223
angles (deg): 90.00 90.00 90.00
Atoms (fractional coordinates):
Ca1 0.0000 0.0000 0.0000
Co1 0.5000 0.5000 0.3155
Co2 0.5000 0.5000 0.6845
Os1 0.0000 0.0000 0.5000

[8]
## La2ReW (PBE)

Data for a relaxed structure of La2ReW.

Calculated values
Space-group type ... Fm-3m (225)
Offset from the most stable computed form ... 767 meV/atom
E_form ... 0.97 eV per atom
Crystal system ... cubic
Total DFT energy (no corrections) ... -7.848 eV/atom
Magnetic moment ... 2.75 Bohr magnetons per cell

a b c (Å): 5.1169 5.1169 5.1169
angles (deg): 60.00 60.00 60.00
Atoms (fractional coordinates):
La1 0.2500 0.2500 0.2500
La2 0.7500 0.7500 0.7500
Re1 0.0000 0.0000 0.0000
W1 0.5000 0.5000 0.5000

[9]
## LiTiTlPt (PBE)

Data for a relaxed structure of LiTiTlPt.

Calculated values
Space-group type ... F-43m (216)
E_form ... -0.43 eV per atom
Crystal system ... cubic
Total DFT energy (no corrections) ... -4.987 eV/atom
Magnetic moment ... 0.00 Bohr magnetons per cell

a b c (Å): 4.5469 4.5469 4.5469
angles (deg): 60.00 60.00 60.00
Atoms (fractional coordinates):
Li1 0.0000 0.0000 0.0000
Ti1 0.7500 0.7500 0.7500
Tl1 0.2500 0.2500 0.2500
Pt1 0.5000 0.5000 0.5000

[10]
## FeAsIr (PBE)

Data for a relaxed structure of FeAsIr.

Calculated values
Space-group type ... Cm (8)
E_form ... 0.02 eV per atom
Crystal system ... monoclinic
Total DFT energy (no corrections) ... -7.305 eV/atom
Magnetic moment ... 4.39 Bohr magnetons per cell

a b c (Å): 5.7859 5.7859 6.2188
angles (deg): 116.13 116.13 28.79
Atoms (fractional coordinates):
Fe1 0.0000 0.0000 0.0000
Fe2 0.6966 0.6966 0.0255
As1 0.0369 0.0369 0.6440
As2 0.2178 0.2178 0.3542
Ir1 0.2864 0.2864 0.7807
Ir2 0.4194 0.4194 0.2677

[11]
## MnPtN2 (PBE)

Data for a relaxed structure of MnPtN2.

Calculated values
Space-group type ... R-3m (166)
Offset from the most stable computed form ... 810 meV/atom
Formation energy from raw total energies ... 0.898 eV/atom
Crystal system ... trigonal
Total DFT energy (no corrections) ... -7.068 eV/atom
Magnetic moment ... 0.00 Bohr magnetons per cell

a b c (Å): 6.1395 6.1395 6.1395
angles (deg): 28.81 28.81 28.81
Atoms (fractional coordinates):
Mn1 0.0000 0.0000 0.0000
Pt1 0.5000 0.5000 0.5000
N1 0.1017 0.1017 0.1017
N2 0.8983 0.8983 0.8983

[12]
## Pm8Bi3Te4S (PBE)

Data for a relaxed structure of Pm8Bi3Te4S.

Calculated values
Space-group type ... R-3m (166)
Formation energy from raw total energies ... -1.298 eV/atom
Crystal system ... trigonal
Total DFT energy (no corrections) ... -5.445 eV/atom
Magnetic moment ... 0.00 Bohr magnetons per cell

a b c (Å): 8.9349 8.9349 8.9349
angles (deg): 59.94 59.94 59.94
Atoms (fractional coordinates):
Pm1 0.2499 0.2499 0.2499
Pm2 0.2674 0.2674 0.7322
Pm3 0.2674 0.7322 0.2674
Pm4 0.2678 0.7326 0.7326
Pm5 0.7322 0.2674 0.2674
Pm6 0.7326 0.2678 0.7326
Pm7 0.7326 0.7326 0.2678
Pm8 0.7501 0.7501 0.7501
Bi1 0.0000 0.0000 0.5000
Bi2 0.0000 0.5000 0.0000
Bi3 0.5000 0.0000 0.0000
Te1 0.0000 0.0000 0.0000
Te2 0.0000 0.5000 0.5000
Te3 0.5000 0.0000 0.5000
Te4 0.5000 0.5000 0.0000
S1 0.5000 0.5000 0.5000

Repeat the ninth record exactly.
## LiTiTlPt (PBE)

Data for a relaxed structure of LiTiTlPt.

Calculated values
Space-group type ... F-43m (216)
E_form ... -0.43 eV per atom
Crystal system ... cubic
Total DFT energy (no corrections) ... -4.987 eV/atom
Magnetic moment ... 0.00 Bohr magnetons per cell

a b c (Å): 4.5469 4.5469 4.5469
angles (deg): 60.00 60.00 60.00
Atoms (fractional coordinates):
Li1 0.0000 0.0000 0.0000
Ti1 0.7500 0.7500 0.7500
Tl1 0.2500 0.2500 0.2500
Pt1 0.5000 0.5000 0.5000

- Which formula does entry 8 have?
  La2ReW

- Which value of total DFT energy (no corrections) does entry 9 give?
  -4.987 eV/atom